Record 1
Below is a relaxed Na3Ce3InS8 crystal, with properties calculated at the PBE level.

Results
The density of states at the Fermi level comes out at 13.503 states/eV/f.u. The symmetry is R-3m (166). The formation energy from raw total energies is -22.57 eV/f.u. The calculated total energy is -80.08 eV/cell. The total magnetization is 2.00 μB/cell.

Cell lengths 8.171, 8.171, 8.171 Å; angles 59.55, 59.55, 59.55 degrees
Sites, in units of the cell vectors:
1 Na 0.000 0.500 0.500
2 Na 0.500 0.000 0.500
3 Na 0.500 0.500 0.000
4 Ce 0.000 0.000 0.500
5 Ce 0.000 0.500 0.000
6 Ce 0.500 0.000 0.000
7 In 0.500 0.500 0.500
8 S 0.244 0.244 0.244
9 S 0.253 0.735 0.735
10 S 0.265 0.265 0.747
11 S 0.265 0.747 0.265
12 S 0.735 0.253 0.735
13 S 0.735 0.735 0.253
14 S 0.747 0.265 0.265
15 S 0.756 0.756 0.756

***

Record 2
Below is a relaxed ZrMoP crystal, with properties calculated at the PBE level.

Results
The density of states at the Fermi level comes out at 5.288 states/eV/f.u. The symmetry is F-43m (216). The calculated total energy is -22.92 eV/cell. For the formation energy from the elements, the calculation gives 0.62 eV/atom. The total magnetization is 0.22 μB/cell.

Cell lengths 4.415, 4.415, 4.415 Å; angles 60.00, 60.00, 60.00 degrees
Sites, in units of the cell vectors:
1 Zr 0.000 0.000 0.000
2 Mo 0.750 0.750 0.750
3 P 0.250 0.250 0.250

***

Record 3
Below is a relaxed Y3GaTe4 crystal, with properties calculated at the PBE level.

Results
The density of states at the Fermi level comes out at 3.357 states/eV/f.u. The symmetry is Pmmn (59). The formation energy from raw total energies is -7.72 eV/f.u. The calculated total energy is -85.40 eV/cell. The total magnetization is 0.81 μB/cell.

Cell lengths 6.154, 9.821, 9.236 Å; angles 90.00, 90.00, 90.00 degrees
Sites, in units of the cell vectors:
1 Y 0.250 0.045 0.155
2 Y 0.250 0.250 0.753
3 Y 0.250 0.455 0.155
4 Y 0.750 0.545 0.845
5 Y 0.750 0.750 0.247
6 Y 0.750 0.955 0.845
7 Ga 0.250 0.750 0.594
8 Ga 0.750 0.250 0.406
9 Te 0.250 0.250 0.410
10 Te 0.250 0.548 0.840
11 Te 0.250 0.750 0.257
12 Te 0.250 0.952 0.840
13 Te 0.750 0.048 0.160
14 Te 0.750 0.250 0.743
15 Te 0.750 0.452 0.160
16 Te 0.750 0.750 0.590

***

Record 4
Below is a relaxed Ca3ZnIn crystal, with properties calculated at the PBE level.

Results
The density of states at the Fermi level comes out at 6.540 states/eV/f.u. The symmetry is Pm-3m (221). The calculated total energy is -9.99 eV/cell. For the formation energy from the elements, the calculation gives 0.01 eV/atom. The total magnetization is 0.00 μB/cell.

Cell lengths 5.644, 5.644, 5.644 Å; angles 90.00, 90.00, 90.00 degrees
Sites, in units of the cell vectors:
1 Ca 0.000 0.000 0.500
2 Ca 0.000 0.500 0.000
3 Ca 0.500 0.000 0.000
4 Zn 0.000 0.000 0.000
5 In 0.500 0.500 0.500

***

Record 5
Below is a relaxed Mg14TiNi crystal, with properties calculated at the PBE level.

Results
The density of states at the Fermi level comes out at 8.275 states/eV/f.u. The symmetry is P-6m2 (187). The calculated total energy is -35.14 eV/cell. For the formation energy from the elements, the calculation gives 0.05 eV/atom. The total magnetization is 1.37 μB/cell.

Cell lengths 6.247, 6.247, 9.958 Å; angles 90.00, 90.00, 120.00 degrees
Sites, in units of the cell vectors:
1 Mg 0.000 0.000 0.243
2 Mg 0.000 0.000 0.757
3 Mg 0.016 0.508 0.260
4 Mg 0.016 0.508 0.740
5 Mg 0.329 0.164 0.500
6 Mg 0.341 0.170 0.000
7 Mg 0.492 0.508 0.260
8 Mg 0.492 0.508 0.740
9 Mg 0.492 0.984 0.260
10 Mg 0.492 0.984 0.740
11 Mg 0.830 0.170 0.000
12 Mg 0.830 0.659 0.000
13 Mg 0.836 0.164 0.500
14 Mg 0.836 0.671 0.500
15 Ti 0.333 0.667 0.000
16 Ni 0.333 0.667 0.500

***

Record 6
Below is a relaxed AcNd10Ho6 crystal, with properties calculated at the PBE level.

Results
The density of states at the Fermi level comes out at 27.164 states/eV/f.u. The symmetry is P-31m (162). The calculated total energy is -76.95 eV/cell. For the formation energy from the elements, the calculation gives 0.14 eV/atom. The total magnetization is 0.00 μB/cell.

Cell lengths 9.917, 9.917, 6.967 Å; angles 90.00, 90.00, 120.00 degrees
Sites, in units of the cell vectors:
1 Ac 0.000 0.000 0.000
2 Nd 0.000 0.283 0.327
3 Nd 0.000 0.717 0.673
4 Nd 0.283 0.000 0.327
5 Nd 0.283 0.283 0.673
6 Nd 0.333 0.667 0.000
7 Nd 0.333 0.667 0.500
8 Nd 0.667 0.333 0.000
9 Nd 0.667 0.333 0.500
10 Nd 0.717 0.000 0.673
11 Nd 0.717 0.717 0.327
12 Ho 0.000 0.370 0.815
13 Ho 0.000 0.630 0.185
14 Ho 0.370 0.000 0.815
15 Ho 0.370 0.370 0.185
16 Ho 0.630 0.000 0.185
17 Ho 0.630 0.630 0.815

***

Record 7
Below is a relaxed Nd4SmHo5 crystal, with properties calculated at the PBE level.

Results
The density of states at the Fermi level comes out at 13.691 states/eV/f.u. The symmetry is P4/mmm (123). The calculated total energy is -46.51 eV/cell. For the formation energy from the elements, the calculation gives 0.02 eV/atom. The total magnetization is 0.00 μB/cell.

Cell lengths 3.610, 3.610, 25.223 Å; angles 90.00, 90.00, 90.00 degrees
Sites, in units of the cell vectors:
1 Nd 0.000 0.000 0.100
2 Nd 0.000 0.000 0.301
3 Nd 0.000 0.000 0.699
4 Nd 0.000 0.000 0.900
5 Sm 0.000 0.000 0.500
6 Ho 0.500 0.500 0.000
7 Ho 0.500 0.500 0.201
8 Ho 0.500 0.500 0.401
9 Ho 0.500 0.500 0.599
10 Ho 0.500 0.500 0.799

***

Record 8
Below is a relaxed Pm3Dy12Tl crystal, with properties calculated at the PBE level.

Results
The density of states at the Fermi level comes out at 20.015 states/eV/f.u. The symmetry is P4/mmm (123). The calculated total energy is -72.20 eV/cell. For the formation energy from the elements, the calculation gives -0.02 eV/atom. The total magnetization is 0.00 μB/cell.

Cell lengths 4.977, 4.977, 20.236 Å; angles 90.00, 90.00, 90.00 degrees
Sites, in units of the cell vectors:
1 Pm 0.000 0.000 0.000
2 Pm 0.000 0.000 0.252
3 Pm 0.000 0.000 0.748
4 Dy 0.000 0.500 0.127
5 Dy 0.000 0.500 0.379
6 Dy 0.000 0.500 0.621
7 Dy 0.000 0.500 0.873
8 Dy 0.500 0.000 0.127
9 Dy 0.500 0.000 0.379
10 Dy 0.500 0.000 0.621
11 Dy 0.500 0.000 0.873
12 Dy 0.500 0.500 0.000
13 Dy 0.500 0.500 0.256
14 Dy 0.500 0.500 0.500
15 Dy 0.500 0.500 0.744
16 Tl 0.000 0.000 0.500

***

Record 9
Below is a relaxed Fe2Ru crystal, with properties calculated at the PBE level.

Results
The density of states at the Fermi level comes out at 3.116 states/eV/f.u. The symmetry is Cmcm (63). The calculated total energy is -51.75 eV/cell. For the formation energy from the elements, the calculation gives 0.11 eV/atom. The total magnetization is 0.51 μB/cell.

Cell lengths 5.790, 5.790, 3.646 Å; angles 90.00, 90.00, 143.21 degrees
Sites, in units of the cell vectors:
1 Fe 0.083 0.917 0.750
2 Fe 0.249 0.751 0.250
3 Fe 0.751 0.249 0.750
4 Fe 0.917 0.083 0.250
5 Ru 0.410 0.590 0.750
6 Ru 0.590 0.410 0.250

***

Record 10
Below is a relaxed HfPbO3 crystal, with properties calculated at the PBE level.

Results
The density of states at the Fermi level comes out at 0.000 states/eV/f.u. The symmetry is P2_1/c (14). The formation energy from raw total energies is -12.74 eV/f.u. The calculated total energy is -165.10 eV/cell. The total magnetization is 0.00 μB/cell.

Cell lengths 7.657, 5.516, 7.621 Å; angles 90.00, 112.08, 90.00 degrees
Sites, in units of the cell vectors:
1 Hf 0.083 0.245 0.119
2 Hf 0.083 0.255 0.619
3 Hf 0.917 0.745 0.381
4 Hf 0.917 0.755 0.881
5 Pb 0.387 0.740 0.850
6 Pb 0.387 0.760 0.350
7 Pb 0.613 0.240 0.650
8 Pb 0.613 0.260 0.150
9 O 0.049 0.080 0.355
10 O 0.049 0.420 0.855
11 O 0.178 0.577 0.549
12 O 0.178 0.923 0.049
13 O 0.354 0.135 0.749
14 O 0.354 0.365 0.249
15 O 0.646 0.635 0.751
16 O 0.646 0.865 0.251
17 O 0.822 0.077 0.951
18 O 0.822 0.423 0.451
19 O 0.951 0.580 0.145
20 O 0.951 0.920 0.645

***

Record 11
Below is a relaxed TcNi2BCl crystal, with properties calculated at the PBE level.

Results
The density of states at the Fermi level comes out at 6.403 states/eV/f.u. The symmetry is P4/mmm (123). The formation energy from raw total energies is 7.06 eV/f.u. The calculated total energy is -23.39 eV/cell. The total magnetization is 2.31 μB/cell.

Cell lengths 4.666, 4.666, 4.024 Å; angles 90.00, 90.00, 90.00 degrees
Sites, in units of the cell vectors:
1 Tc 0.000 0.000 0.000
2 Ni 0.000 0.500 0.000
3 Ni 0.500 0.000 0.000
4 B 0.000 0.000 0.500
5 Cl 0.500 0.500 0.500

***

Record 12
Below is a relaxed PaHgAsO5 crystal, with properties calculated at the PBE level.

Results
The symmetry is C2/c (15). The formation energy from raw total energies is -15.84 eV/f.u. The calculated total energy is -110.15 eV/cell. The total magnetization is 0.00 μB/cell.

Cell lengths 6.402, 6.402, 8.176 Å; angles 106.01, 106.01, 105.85 degrees
Sites, in units of the cell vectors:
1 Pa 0.000 0.500 0.000
2 Pa 0.500 0.000 0.500
3 Hg 0.084 0.916 0.750
4 Hg 0.916 0.084 0.250
5 As 0.445 0.555 0.750
6 As 0.555 0.445 0.250
7 O 0.211 0.789 0.250
8 O 0.261 0.351 0.117
9 O 0.274 0.584 0.878
10 O 0.351 0.261 0.617
11 O 0.416 0.726 0.622
12 O 0.584 0.274 0.378
13 O 0.649 0.739 0.383
14 O 0.726 0.416 0.122
15 O 0.739 0.649 0.883
16 O 0.789 0.211 0.750